1.
DFT (PBE) results for a geometry-optimized La4Er5Tm4 structure.

a b c (Å): 9.4761 9.4761 9.4761
angles (deg): 94.09 94.09 149.01
Sites, in units of the cell vectors:
La  0.1521  0.7715  0.9236
La  0.2285  0.1521  0.3806
La  0.7715  0.8479  0.6194
La  0.8479  0.2285  0.0764
Er  0.0000  0.0000  0.0000
Er  0.3071  0.5371  0.8442
Er  0.4629  0.3071  0.7700
Er  0.5371  0.6929  0.2300
Er  0.6929  0.4629  0.1558
Tm  0.0765  0.3882  0.4647
Tm  0.3882  0.9235  0.3117
Tm  0.6118  0.0765  0.6883
Tm  0.9235  0.6118  0.5353

Summary:
Its formation energy is 37 meV/atom. The calculation puts the magnetization at 0.0 μB per formula unit. The electronic total energy comes out at -4.6097 eV/atom.

---

2.
DFT (PBE) results for a geometry-optimized La2MnIn structure.

a b c (Å): 5.4598 5.4598 3.8862
angles (deg): 90.00 90.00 90.00
Sites, in units of the cell vectors:
La  0.0000  0.5000  0.0000
La  0.5000  0.0000  0.0000
Mn  0.0000  0.0000  0.5000
In  0.5000  0.5000  0.5000

Summary:
Its formation energy is -57 meV/atom. The calculation puts the magnetization at 3.3 μB per formula unit. The electronic total energy comes out at -5.4974 eV/atom.

---

3.
DFT (PBE) results for a geometry-optimized In12Bi5Cl3 structure.

a b c (Å): 15.7146 15.7146 15.7146
angles (deg): 109.47 109.47 109.47
Sites, in units of the cell vectors:
In  0.0695  0.2317  0.1581
In  0.0695  0.3378  0.9114
In  0.0736  0.7317  0.6622
In  0.0736  0.8419  0.4114
In  0.0886  0.6581  0.4264
In  0.0886  0.9305  0.6622
In  0.1581  0.0695  0.2317
In  0.1581  0.5886  0.9264
In  0.1622  0.2317  0.5736
In  0.1622  0.4305  0.5886
In  0.2317  0.1581  0.0695
In  0.2317  0.5736  0.1622
In  0.2683  0.3378  0.9264
In  0.2683  0.4305  0.3419
In  0.3378  0.9114  0.0695
In  0.3378  0.9264  0.2683
In  0.3419  0.2683  0.4305
In  0.3419  0.5736  0.9114
In  0.4114  0.0736  0.8419
In  0.4114  0.8378  0.5695
In  0.4264  0.0886  0.6581
In  0.4264  0.8378  0.7683
In  0.4305  0.3419  0.2683
In  0.4305  0.5886  0.1622
In  0.5695  0.4114  0.8378
In  0.5695  0.6581  0.7317
In  0.5736  0.1622  0.2317
In  0.5736  0.9114  0.3419
In  0.5886  0.1622  0.4305
In  0.5886  0.9264  0.1581
In  0.6581  0.4264  0.0886
In  0.6581  0.7317  0.5695
In  0.6622  0.0736  0.7317
In  0.6622  0.0886  0.9305
In  0.7317  0.5695  0.6581
In  0.7317  0.6622  0.0736
In  0.7683  0.4264  0.8378
In  0.7683  0.8419  0.9305
In  0.8378  0.5695  0.4114
In  0.8378  0.7683  0.4264
In  0.8419  0.4114  0.0736
In  0.8419  0.9305  0.7683
In  0.9114  0.0695  0.3378
In  0.9114  0.3419  0.5736
In  0.9264  0.1581  0.5886
In  0.9264  0.2683  0.3378
In  0.9305  0.6622  0.0886
In  0.9305  0.7683  0.8419
Bi  0.0000  0.0000  0.0000
Bi  0.0000  0.0000  0.5000
Bi  0.0000  0.5000  0.0000
Bi  0.0000  0.5000  0.5000
Bi  0.1250  0.7500  0.8750
Bi  0.1250  0.8750  0.2500
Bi  0.2500  0.1250  0.8750
Bi  0.2500  0.6250  0.3750
Bi  0.3750  0.2500  0.6250
Bi  0.3750  0.6250  0.7500
Bi  0.5000  0.0000  0.0000
Bi  0.5000  0.0000  0.5000
Bi  0.5000  0.5000  0.0000
Bi  0.5000  0.5000  0.5000
Bi  0.6250  0.3750  0.2500
Bi  0.6250  0.7500  0.3750
Bi  0.7500  0.3750  0.6250
Bi  0.7500  0.8750  0.1250
Bi  0.8750  0.1250  0.7500
Bi  0.8750  0.2500  0.1250
Cl  0.1250  0.2500  0.3750
Cl  0.1250  0.3750  0.7500
Cl  0.2500  0.3750  0.1250
Cl  0.2500  0.8750  0.6250
Cl  0.3750  0.1250  0.2500
Cl  0.3750  0.7500  0.1250
Cl  0.6250  0.2500  0.8750
Cl  0.6250  0.8750  0.7500
Cl  0.7500  0.1250  0.3750
Cl  0.7500  0.6250  0.8750
Cl  0.8750  0.6250  0.2500
Cl  0.8750  0.7500  0.6250

Summary:
The value obtained for the uncorrected formation energy is -3 kJ/mol of atoms. The calculation puts the magnetization at 0.0 μB per formula unit. The electronic total energy comes out at -2.9216 eV/atom.

---

4.
DFT (PBE) results for a geometry-optimized Tb5Pm3Pr2 structure.

a b c (Å): 12.4470 12.4470 12.4470
angles (deg): 135.09 56.32 147.82
Sites, in units of the cell vectors:
Tb  0.0012  0.2500  0.7512
Tb  0.1250  0.0879  0.2129
Tb  0.2500  0.2500  0.0000
Tb  0.3750  0.5879  0.9630
Tb  0.4988  0.2500  0.2488
Tb  0.5012  0.7500  0.7512
Tb  0.6250  0.4121  0.0370
Tb  0.7500  0.7500  0.0000
Tb  0.8750  0.9121  0.7871
Tb  0.9988  0.7500  0.2488
Pm  0.1295  0.7518  0.8814
Pm  0.2500  0.7500  0.5000
Pm  0.3705  0.2518  0.6223
Pm  0.6295  0.7482  0.3777
Pm  0.7500  0.2500  0.5000
Pm  0.8705  0.2482  0.1186
Pr  0.1258  0.3970  0.5228
Pr  0.3742  0.8970  0.2712
Pr  0.6258  0.1030  0.7288
Pr  0.8742  0.6030  0.4772

Summary:
Its formation energy is 379 meV/atom. The calculation puts the magnetization at 0.0 μB per formula unit. The electronic total energy comes out at -4.3170 eV/atom.

---

5.
DFT (PBE) results for a geometry-optimized SbTeIrI2 structure.

a b c (Å): 5.3746 5.3746 5.2598
angles (deg): 90.00 90.00 90.00
Sites, in units of the cell vectors:
Sb  0.0000  0.0000  0.0000
Te  0.5000  0.5000  0.0000
Ir  0.5000  0.5000  0.5000
I  0.0000  0.5000  0.5000
I  0.5000  0.0000  0.5000

Summary:
The value obtained for the uncorrected formation energy is 47 kJ/mol of atoms. The calculation puts the magnetization at 0.0 μB per formula unit. The electronic total energy comes out at -3.3584 eV/atom.

---

6.
DFT (PBE) results for a geometry-optimized La4PrOs2 structure.

a b c (Å): 8.0412 6.8141 8.0459
angles (deg): 90.00 111.73 90.00
Sites, in units of the cell vectors:
La  0.1225  0.2500  0.4721
La  0.1829  0.7500  0.2560
La  0.2595  0.5005  0.9171
La  0.2595  0.9995  0.9171
La  0.7405  0.0005  0.0829
La  0.7405  0.4995  0.0829
La  0.8171  0.2500  0.7440
La  0.8775  0.7500  0.5279
Pr  0.4785  0.2500  0.3462
Pr  0.5215  0.7500  0.6538
Os  0.0923  0.2500  0.1315
Os  0.4839  0.2500  0.7491
Os  0.5161  0.7500  0.2509
Os  0.9077  0.7500  0.8685

Summary:
Its formation energy is -50 meV/atom. The calculation puts the magnetization at 0.0 μB per formula unit. The electronic total energy comes out at -6.7569 eV/atom.